# 1
# PBE-GGA CuClO, optimized geometry
data_CuClO
_chemical_formula_sum 'Cu4 Cl4 O4'
_symmetry_space_group_name_H-M 'P 1 21/c 1'
_symmetry_Int_Tables_number 14
_cell_length_a 6.4841
_cell_length_b 6.2802
_cell_length_c 5.3584
_cell_angle_alpha 90.00
_cell_angle_beta 110.93
_cell_angle_gamma 90.00
loop_
_symmetry_equiv_pos_as_xyz
'x,y,z'
'-x,-y,-z'
'-x,y+1/2,-z+1/2'
'x,-y+1/2,z+1/2'
loop_
_atom_site_label
_atom_site_type_symbol
_atom_site_fract_x
_atom_site_fract_y
_atom_site_fract_z
Cu1 Cu 0.0411 0.1155 0.2889
Cl1 Cl 0.3004 0.0680 0.1212
O1 O 0.0938 0.6534 0.9496
# Excess energy over the best structure of this formula in the dataset (meV per atom): 62.2

---

# 2
# PBE-GGA Cu2Cl2O, optimized geometry
data_Cu2Cl2O
_chemical_formula_sum 'Cu4 Cl4 O2'
_symmetry_space_group_name_H-M 'I 4/m m m'
_symmetry_Int_Tables_number 139
_symmetry_space_group_name_Hall '-I 4 2'
_cell_length_a 3.8856
_cell_length_b 3.8856
_cell_length_c 12.0737
_cell_angle_alpha 90.00
_cell_angle_beta 90.00
_cell_angle_gamma 90.00
loop_
_atom_site_label
_atom_site_type_symbol
_atom_site_fract_x
_atom_site_fract_y
_atom_site_fract_z
Cu1 Cu 0.0000 0.5000 0.2500
Cl1 Cl 0.0000 0.0000 0.1373
O1 O 0.0000 0.0000 0.5000
# DFT total energy (eV/cell): -30.99

---

# 3
# PBE-GGA CuPCl2O, optimized geometry
data_CuPCl2O
_chemical_formula_sum 'Cu1 P1 Cl2 O1'
_symmetry_space_group_name_H-M 'P 4/m m m'
_symmetry_Int_Tables_number 123
_symmetry_space_group_name_Hall '-P 4 2'
_cell_length_a 5.5028
_cell_length_b 5.5028
_cell_length_c 3.2971
_cell_angle_alpha 90.00
_cell_angle_beta 90.00
_cell_angle_gamma 90.00
loop_
_atom_site_label
_atom_site_type_symbol
_atom_site_fract_x
_atom_site_fract_y
_atom_site_fract_z
Cu1 Cu 0.0000 0.0000 0.0000
P1 P 0.5000 0.5000 0.0000
Cl1 Cl 0.0000 0.5000 0.5000
O1 O 0.5000 0.5000 0.5000
# Excess energy over the best structure of this formula in the dataset (meV per atom): 0.0